# 1
VASP calculation (PBE) on crystalline PmGa2GeRu2 at its relaxed geometry.

Lattice parameters (Å, degrees): 4.547 4.547 5.701 90.00 90.00 90.00
Fractional positions:
Pm: 0.000 0.000 0.000
Ga: 0.500 0.500 0.233
Ga: 0.500 0.500 0.767
Ge: 0.000 0.000 0.500
Ru: 0.000 0.500 0.500
Ru: 0.500 0.000 0.500

Output
Calculated density   7.9 g/cm³
Magnetic moment   0.0 Bohr magnetons per cell
SG   P4/mmm, No. 123
DFT total energy   -5.880 eV/atom

# 2
VASP calculation (PBE) on crystalline PmScGaGe at its relaxed geometry.

Lattice parameters (Å, degrees): 4.993 4.993 4.993 60.00 60.00 60.00
Fractional positions:
Pm: 0.000 0.000 0.000
Sc: 0.500 0.500 0.500
Ga: 0.750 0.750 0.750
Ge: 0.250 0.250 0.250

Output
Calculated density   6.3 g/cm³
Magnetic moment   0.0 Bohr magnetons per cell
SG   F-43m, No. 216
DFT total energy   -5.220 eV/atom

# 3
VASP calculation (PBE) on crystalline PmGaSnGe at its relaxed geometry.

Lattice parameters (Å, degrees): 4.281 4.614 4.627 90.00 90.00 90.00
Fractional positions:
Pm: 0.000 0.000 0.000
Ga: 0.500 0.500 0.000
Sn: 0.000 0.500 0.500
Ge: 0.500 0.000 0.500

Output
Calculated density   7.4 g/cm³
Magnetic moment   0.0 Bohr magnetons per cell
SG   Pmmm, No. 47
DFT total energy   -4.585 eV/atom

# 4
VASP calculation (PBE) on crystalline TbPmGaGe at its relaxed geometry.

Lattice parameters (Å, degrees): 5.133 5.133 5.133 60.00 60.00 60.00
Fractional positions:
Tb: 0.000 0.000 0.000
Pm: 0.500 0.500 0.500
Ga: 0.750 0.750 0.750
Ge: 0.250 0.250 0.250

Output
Calculated density   7.7 g/cm³
Magnetic moment   0.0 Bohr magnetons per cell
SG   F-43m, No. 216
DFT total energy   -4.834 eV/atom
E above lowest polymorph   0.202 eV per atom

# 5
VASP calculation (PBE) on crystalline TbPmGaGe at its relaxed geometry.

Lattice parameters (Å, degrees): 4.054 5.926 5.926 43.51 90.00 90.00
Fractional positions:
Tb: 0.000 0.000 0.000
Pm: 0.500 0.720 0.720
Ga: 0.000 0.285 0.285
Ge: 0.500 0.439 0.439

Output
Calculated density   7.6 g/cm³
Magnetic moment   0.0 Bohr magnetons per cell
SG   Amm2, No. 38
DFT total energy   -5.036 eV/atom
E above lowest polymorph   0.000 eV per atom

# 6
VASP calculation (PBE) on crystalline PmGaTcGe at its relaxed geometry.

Lattice parameters (Å, degrees): 4.710 4.710 4.710 60.00 60.00 60.00
Fractional positions:
Pm: 0.000 0.000 0.000
Ga: 0.250 0.250 0.250
Tc: 0.500 0.500 0.500
Ge: 0.750 0.750 0.750

Output
Calculated density   8.7 g/cm³
Magnetic moment   0.0 Bohr magnetons per cell
SG   F-43m, No. 216
DFT total energy   -5.883 eV/atom

# 7
VASP calculation (PBE) on crystalline PmGaTcGe2 at its relaxed geometry.

Lattice parameters (Å, degrees): 5.721 5.719 5.863 90.00 90.00 90.00
Fractional positions:
Pm: 0.250 0.000 0.221
Pm: 0.750 0.000 0.779
Ga: 0.250 0.500 0.371
Ga: 0.750 0.500 0.629
Tc: 0.000 0.500 0.000
Tc: 0.500 0.500 0.000
Ge: 0.250 0.234 0.733
Ge: 0.250 0.766 0.733
Ge: 0.750 0.234 0.267
Ge: 0.750 0.766 0.267

Output
Calculated density   7.9 g/cm³
Magnetic moment   0.4 Bohr magnetons per cell
SG   Pmma, No. 51
DFT total energy   -5.937 eV/atom

# 8
VASP calculation (PBE) on crystalline Pm8GaGe3Te4 at its relaxed geometry.

Lattice parameters (Å, degrees): 8.868 8.868 8.868 58.52 58.52 58.52
Fractional positions:
Pm: 0.240 0.745 0.745
Pm: 0.241 0.241 0.241
Pm: 0.255 0.255 0.760
Pm: 0.255 0.760 0.255
Pm: 0.745 0.240 0.745
Pm: 0.745 0.745 0.240
Pm: 0.759 0.759 0.759
Pm: 0.760 0.255 0.255
Ga: 0.500 0.500 0.500
Ge: 0.000 0.000 0.500
Ge: 0.000 0.500 0.000
Ge: 0.500 0.000 0.000
Te: 0.000 0.000 0.000
Te: 0.000 0.500 0.500
Te: 0.500 0.000 0.500
Te: 0.500 0.500 0.000

Output
Calculated density   6.8 g/cm³
Magnetic moment   0.0 Bohr magnetons per cell
SG   R-3m, No. 166
Formation energy from raw total energies   -1.15 eV/atom
DFT total energy   -5.364 eV/atom

# 9
VASP calculation (PBE) on crystalline PmUGaGe at its relaxed geometry.

Lattice parameters (Å, degrees): 5.082 5.082 5.082 60.00 60.00 60.00
Fractional positions:
Pm: 0.000 0.000 0.000
U: 0.500 0.500 0.500
Ga: 0.250 0.250 0.250
Ge: 0.750 0.750 0.750

Output
Calculated density   9.4 g/cm³
Magnetic moment   3.3 Bohr magnetons per cell
SG   F-43m, No. 216
DFT total energy   -6.154 eV/atom

# 10
VASP calculation (PBE) on crystalline PmYGaGe at its relaxed geometry.

Lattice parameters (Å, degrees): 5.130 5.130 5.130 60.00 60.00 60.00
Fractional positions:
Pm: 0.000 0.000 0.000
Y: 0.500 0.500 0.500
Ga: 0.750 0.750 0.750
Ge: 0.250 0.250 0.250

Output
Calculated density   6.5 g/cm³
Magnetic moment   0.0 Bohr magnetons per cell
SG   F-43m, No. 216
DFT total energy   -5.298 eV/atom
E above lowest polymorph   0.211 eV per atom

# 11
VASP calculation (PBE) on crystalline PmYGaGe at its relaxed geometry.

Lattice parameters (Å, degrees): 4.051 5.915 5.915 43.55 90.00 90.00
Fractional positions:
Pm: 0.000 0.000 0.000
Y: 0.500 0.280 0.280
Ga: 0.500 0.564 0.564
Ge: 0.000 0.719 0.719

Output
Calculated density   6.4 g/cm³
Magnetic moment   0.0 Bohr magnetons per cell
SG   Amm2, No. 38
DFT total energy   -5.509 eV/atom
E above lowest polymorph   0.000 eV per atom

# 12
VASP calculation (PBE) on crystalline Pm2Zn4Ga3Ge at its relaxed geometry.

Lattice parameters (Å, degrees): 4.259 4.259 10.577 90.00 90.00 90.00
Fractional positions:
Pm: 0.000 0.500 0.248
Pm: 0.500 0.000 0.752
Zn: 0.000 0.000 0.000
Zn: 0.000 0.500 0.637
Zn: 0.500 0.000 0.363
Zn: 0.500 0.500 0.000
Ga: 0.000 0.500 0.866
Ga: 0.500 0.000 0.134
Ga: 0.500 0.500 0.500
Ge: 0.000 0.000 0.500

Output
Calculated density   7.2 g/cm³
Magnetic moment   0.0 Bohr magnetons per cell
SG   P-4m2, No. 115
DFT total energy   -3.277 eV/atom

# 13
VASP calculation (PBE) on crystalline PrGaGe2 at its relaxed geometry.

Lattice parameters (Å, degrees): 4.400 4.400 4.467 90.00 90.00 90.00
Fractional positions:
Pr: 0.000 0.000 0.000
Ga: 0.500 0.500 0.000
Ge: 0.000 0.500 0.500
Ge: 0.500 0.000 0.500

Output
Calculated density   6.8 g/cm³
Magnetic moment   0.0 Bohr magnetons per cell
SG   P4/mmm, No. 123
DFT total energy   -4.712 eV/atom
E above lowest polymorph   0.000 eV per atom